No. 1
The following is a DFT calculation (PBE) of crystalline Ce4GeAsP2 at its relaxed geometry.

Cell: 7.1921 4.1517 7.2092 Å, 90.00 109.40 90.00°
Space group P2/m (No. 10)
Inequivalent atoms, fractional coordinates:
Ce 0.2464 0.0000 0.2410 (multiplicity 2)
Ce 0.2525 0.5000 0.7587 (multiplicity 2)
Ge 0.5000 0.5000 0.5000 (multiplicity 1)
As 0.0000 0.0000 0.5000 (multiplicity 1)
P 0.0000 0.5000 0.0000 (multiplicity 1)
P 0.5000 0.0000 0.0000 (multiplicity 1)

The total energy is -6.743 eV/atom. The crystal system is monoclinic.

---

No. 2
The following is a DFT calculation (PBE) of crystalline Be4Tl at its relaxed geometry.

Cell: 4.5446 4.5446 4.5446 Å, 90.00 90.00 90.00°
Space group Pm-3m (No. 221)
Inequivalent atoms, fractional coordinates:
Be 0.0000 0.0000 0.0000 (multiplicity 1)
Be 0.0000 0.5000 0.5000 (multiplicity 3)
Tl 0.5000 0.5000 0.5000 (multiplicity 1)

The crystal system is cubic. For the relative energy among the computed polymorphs, the calculation gives 4.89 eV per formula unit.

---

No. 3
The following is a DFT calculation (PBE) of crystalline InPCl at its relaxed geometry.

Cell: 3.6353 3.6353 7.0844 Å, 90.00 90.00 120.00°
Space group P3m1 (No. 156)
Inequivalent atoms, fractional coordinates:
In 0.0000 0.0000 0.0000 (multiplicity 1)
P 0.3333 0.6667 0.2256 (multiplicity 1)
Cl 0.6667 0.3333 0.7486 (multiplicity 1)

The crystal system is trigonal. For the relative energy among the computed polymorphs, the calculation gives 0.52 eV per formula unit.